[1]
A plane-wave DFT calculation with PBE-GGA was carried out for crystalline Sr2CrSb2 at its relaxed geometry.

Lattice parameters (Å, degrees): 7.9268 7.9268 4.8721 90.00 90.00 90.00
With the nearest neighbours (Å) after each atom.
Space group P4/mbm (No. 127)
Inequivalent atoms, fractional coordinates:
Sr 0.1578 0.3422 0.0000  6 Sb 3.21-3.48, 1 Sr 3.54
Cr 0.0000 0.0000 0.5000  4 Sb 3.00
Sb 0.1552 0.6552 0.5000  2 Cr 3.00, 2 Sr 3.21

Summary:
For the formation energy from raw total energies, the calculation gives -211 kJ/mol of formula units.

[2]
A plane-wave DFT calculation with PBE-GGA was carried out for crystalline Nd2Sm5Y3 at its relaxed geometry.

Lattice parameters (Å, degrees): 10.8949 15.7173 9.6689 90.00 123.70 90.00
With the nearest neighbours (Å) after each atom.
Space group C2/c (No. 15)
Inequivalent atoms, fractional coordinates:
Nd 0.1449 0.1261 0.0529  3 Y 3.23-3.50, 5 Sm 3.33-3.61
Sm 0.0000 0.2288 0.2500  5 Y 3.28-3.53, 2 Nd 3.47, 2 Sm 3.60
Sm 0.0000 0.2705 0.7500  1 Sm 3.12, 2 Nd 3.33
Sm 0.0000 0.4689 0.7500  1 Sm 3.12, 2 Y 3.38
Sm 0.2308 0.3797 0.2168  3 Y 3.53-3.68, 2 Nd 3.54-3.83, 3 Sm 3.60-3.64
Y 0.0000 0.0201 0.2500  3 Sm 3.28-3.54, 4 Nd 3.35-3.50, 2 Y 3.49
Y 0.1577 0.3784 0.5451  1 Nd 3.23, 5 Sm 3.34-3.56, 1 Y 3.49

Summary:
For the energy of formation from the pure elements, the calculation gives 190 meV per atom.